# 1
The following is a DFT calculation (PBE) of crystalline U2Cl4F5 at its relaxed geometry.

The structure in CIF format:
```
data_U2Cl4F5
_space_group_name_H-M_alt 'P 1 2/m 1'
_space_group_IT_number 10
_cell_length_a 6.023
_cell_length_b 4.341
_cell_length_c 10.098
_cell_angle_alpha 90.00
_cell_angle_beta 93.78
_cell_angle_gamma 90.00
loop_
_space_group_symop_operation_xyz
'x,y,z'
'-x,-y,-z'
'-x,y,-z'
'x,-y,z'
loop_
_atom_site_label
_atom_site_type_symbol
_atom_site_fract_x
_atom_site_fract_y
_atom_site_fract_z
_atom_site_occupancy
U1 U 0.063 0.000 0.228 1
Cl1 Cl 0.188 0.500 0.850 1
Cl2 Cl 0.251 0.500 0.362 1
F1 F 0.000 0.000 0.000 1
F2 F 0.166 0.000 0.633 1
F3 F 0.368 0.000 0.154 1
```

Formation energy from raw total energies in eV/f.u.: -29.156
E in eV per atom: -6.23
Mass density in g/cm3: 4.49
Magnetic moment in μB/atom: 0.273

---

# 2
The following is a DFT calculation (PBE) of crystalline Pm3Ga2Au9 at its relaxed geometry.

The structure in CIF format:
```
data_Pm3Ga2Au9
_space_group_name_H-M_alt 'I m m m'
_space_group_IT_number 71
_space_group_name_Hall '-I 2 2'
_cell_length_a 4.685
_cell_length_b 9.491
_cell_length_c 13.429
_cell_angle_alpha 90.00
_cell_angle_beta 90.00
_cell_angle_gamma 90.00
loop_
_atom_site_label
_atom_site_type_symbol
_atom_site_fract_x
_atom_site_fract_y
_atom_site_fract_z
_atom_site_occupancy
Pm1 Pm 0.000 0.000 0.000 1
Pm2 Pm 0.000 0.000 0.285 1
Ga1 Ga 0.000 0.166 0.500 1
Au1 Au 0.000 0.295 0.147 1
Au2 Au 0.000 0.358 0.359 1
Au3 Au 0.000 0.500 0.000 1
```

E in eV per atom: -4.12
Mass density in g/cm3: 13.06
Magnetic moment in μB/atom: 0.000
E_form in eV per atom: -0.56

---

# 3
The following is a DFT calculation (PBE) of crystalline CoRe2Au at its relaxed geometry.

The structure in CIF format:
```
data_CoRe2Au
_space_group_name_H-M_alt 'P 1 m 1'
_space_group_IT_number 6
_cell_length_a 2.751
_cell_length_b 3.857
_cell_length_c 5.572
_cell_angle_alpha 90.00
_cell_angle_beta 90.70
_cell_angle_gamma 90.00
loop_
_space_group_symop_operation_xyz
'x,y,z'
'x,-y,z'
loop_
_atom_site_label
_atom_site_type_symbol
_atom_site_fract_x
_atom_site_fract_y
_atom_site_fract_z
_atom_site_occupancy
Co1 Co 0.000 0.000 0.000 1
Re1 Re 0.529 0.500 0.229 1
Re2 Re 0.985 0.000 0.452 1
Au1 Au 0.508 0.500 0.743 1
```

E above lowest polymorph in meV per atom: 53
E in eV per atom: -8.53
Mass density in g/cm3: 17.65
Magnetic moment in μB/atom: 0.301
E_form in eV per atom: 0.29

---

# 4
The following is a DFT calculation (PBE) of crystalline Sr2TbCrN4 at its relaxed geometry.

The structure in CIF format:
```
data_Sr2TbCrN4
_space_group_name_H-M_alt 'P m n 21'
_space_group_IT_number 31
_cell_length_a 7.320
_cell_length_b 6.992
_cell_length_c 5.514
_cell_angle_alpha 90.00
_cell_angle_beta 90.00
_cell_angle_gamma 90.00
loop_
_space_group_symop_operation_xyz
'x,y,z'
'-x+1/2,-y,z+1/2'
'-x,y,z'
'x+1/2,-y,z+1/2'
loop_
_atom_site_label
_atom_site_type_symbol
_atom_site_fract_x
_atom_site_fract_y
_atom_site_fract_z
_atom_site_occupancy
Sr1 Sr 0.246 0.166 0.000 1
Tb1 Tb 0.000 0.368 0.516 1
Cr1 Cr 0.000 0.665 0.038 1
N1 N 0.000 0.421 0.931 1
N2 N 0.000 0.654 0.359 1
N3 N 0.214 0.791 0.970 1
```

Formation energy from raw total energies in eV/f.u.: -6.889
E in eV per atom: -7.23
Mass density in g/cm3: 5.20
Magnetic moment in μB/atom: 0.125

---

Q: What is the magnetic moment in the fourth record?
A: 0.125 μB/atom